1.
VASP calculation (GGA-PBE) on a relaxed GeBIF2 crystal.

a b c (Å): 4.151 6.694 4.151
angles (deg): 90.00 90.00 90.00
Element x y z (fractional)
F  0.500  0.000  0.000
F  0.000  0.000  0.500
B  0.500  0.500  0.500
I  0.000  0.500  0.000
Ge  0.000  0.000  0.000

Output
For the calculated density, the calculation gives 3.6 g cm⁻³. Its total magnetization is 0.0104 μB per atom. Its space-group type is P4/mmm, No. 123. For the formation energy without anion corrections, the calculation gives -334 meV per atom.

2.
VASP calculation (GGA-PBE) on a relaxed KFeI2 crystal.

a b c (Å): 8.189 8.189 7.198
angles (deg): 55.33 55.33 90.00
Each line ends with the local moment (μB).
Element x y z (fractional)
Fe  0.750  0.250  0.500  2.71
Fe  0.000  0.000  0.000  2.71
I  0.375  0.289  0.750  0.03
I  0.711  0.125  0.250  0.03
I  0.875  0.961  0.750  0.03
I  0.039  0.625  0.250  0.03
K  0.500  0.500  0.000  0.00
K  0.250  0.750  0.500  0.00

Output
As for the excess energy over the best structure of this formula in the dataset: 0.00 eV per formula unit. For the calculated density, the calculation gives 4.0 g cm⁻³. Its total magnetization is 0.7500 μB per atom. Its space-group type is I-42d, No. 122. For the formation energy without anion corrections, the calculation gives -411 meV per atom.

3.
VASP calculation (GGA-PBE) on a relaxed Sr2CrRh crystal.

a b c (Å): 8.979 8.979 8.979
angles (deg): 26.62 26.62 26.62
Each line ends with the local moment (μB).
Element x y z (fractional)
Sr  0.016  0.016  0.016  0.01
Sr  0.484  0.484  0.484  0.01
Rh  0.750  0.750  0.750  0.06
Cr  0.250  0.250  0.250  4.18

Output
As for the excess energy over the best structure of this formula in the dataset: 1.66 eV per formula unit. For the calculated density, the calculation gives 4.3 g cm⁻³. Its total magnetization is 1.2650 μB per atom. Its space-group type is R-3m, No. 166. Its energy of formation is 208 kJ/mol of formula units.

4.
VASP calculation (GGA-PBE) on a relaxed Ba2LiTc crystal.

a b c (Å): 7.208 7.208 5.655
angles (deg): 66.87 66.87 29.29
Each line ends with the local moment (μB).
Element x y z (fractional)
Ba  0.053  0.053  0.948  -0.03
Ba  0.254  0.254  0.246  -0.04
Li  0.429  0.429  0.571  0.00
Tc  0.765  0.765  0.735  1.51

Output
As for the excess energy over the best structure of this formula in the dataset: 0.16 eV per formula unit. For the calculated density, the calculation gives 4.8 g cm⁻³. Its total magnetization is 0.3951 μB per atom. Its space-group type is Imm2, No. 44. Its energy of formation is 264 kJ/mol of formula units.

It is found that the total DFT energy (no corrections) values, taken in the order of the records, are -3.6512 -3.5756 -4.5464 -3.3467 eV/atom.